(1)
# La3Y4Tm2 PBE-GGA relaxed
data_La3Y4Tm2
_space_group_name_H-M_alt 'P 1'
_space_group_IT_number 1
_cell_length_a 6.277
_cell_length_b 6.277
_cell_length_c 14.839
_cell_angle_alpha 110.53
_cell_angle_beta 110.53
_cell_angle_gamma 33.47
loop_
_space_group_symop_operation_xyz
'x,y,z'
loop_
_atom_site_label
_atom_site_type_symbol
_atom_site_fract_x
_atom_site_fract_y
_atom_site_fract_z
La1 La 0.000 0.000 0.000
La2 La 0.110 0.110 0.441
La3 La 0.890 0.890 0.559
Y1 Y 0.221 0.221 0.888
Y2 Y 0.328 0.328 0.330
Y3 Y 0.672 0.672 0.670
Y4 Y 0.779 0.779 0.112
Tm1 Tm 0.447 0.447 0.781
Tm2 Tm 0.553 0.553 0.219
# Excess energy over the best structure of this formula in the dataset, meV per atom: 0
# ΔH_f (0 K), eV per atom: 0.03
# M_tot, Bohr magnetons per cell: 0.0

***

(2)
# La4YTm5 PBE-GGA relaxed
data_La4YTm5
_space_group_name_H-M_alt 'P 1'
_space_group_IT_number 1
_cell_length_a 8.186
_cell_length_b 8.186
_cell_length_c 8.186
_cell_angle_alpha 97.62
_cell_angle_beta 97.62
_cell_angle_gamma 137.28
loop_
_space_group_symop_operation_xyz
'x,y,z'
loop_
_atom_site_label
_atom_site_type_symbol
_atom_site_fract_x
_atom_site_fract_y
_atom_site_fract_z
La1 La 0.000 0.323 0.323
La2 La 0.000 0.677 0.677
La3 La 0.323 0.000 0.323
La4 La 0.677 0.000 0.677
Y1 Y 0.747 0.747 0.000
Tm1 Tm 0.229 0.229 0.000
Tm2 Tm 0.295 0.295 0.622
Tm3 Tm 0.295 0.673 0.000
Tm4 Tm 0.673 0.295 0.000
Tm5 Tm 0.673 0.673 0.378
# Excess energy over the best structure of this formula in the dataset, meV per atom: 36
# ΔH_f (0 K), eV per atom: 0.24
# M_tot, Bohr magnetons per cell: 0.0

***

(3)
# La2YTm PBE-GGA relaxed
data_La2YTm
_space_group_name_H-M_alt 'P 1'
_space_group_IT_number 1
_cell_length_a 11.870
_cell_length_b 11.870
_cell_length_c 11.870
_cell_angle_alpha 17.70
_cell_angle_beta 17.70
_cell_angle_gamma 17.70
loop_
_space_group_symop_operation_xyz
'x,y,z'
loop_
_atom_site_label
_atom_site_type_symbol
_atom_site_fract_x
_atom_site_fract_y
_atom_site_fract_z
La1 La 0.249 0.249 0.249
La2 La 0.751 0.751 0.751
Y1 Y 0.000 0.000 0.000
Tm1 Tm 0.500 0.500 0.500
# Excess energy over the best structure of this formula in the dataset, meV per atom: 0
# ΔH_f (0 K), eV per atom: 0.01
# M_tot, Bohr magnetons per cell: 0.0

***

(4)
# La7Y2Tm3 PBE-GGA relaxed
data_La7Y2Tm3
_space_group_name_H-M_alt 'P 1'
_space_group_IT_number 1
_cell_length_a 6.526
_cell_length_b 3.572
_cell_length_c 17.728
_cell_angle_alpha 90.00
_cell_angle_beta 95.59
_cell_angle_gamma 90.00
loop_
_space_group_symop_operation_xyz
'x,y,z'
loop_
_atom_site_label
_atom_site_type_symbol
_atom_site_fract_x
_atom_site_fract_y
_atom_site_fract_z
La1 La 0.000 0.000 0.000
La2 La 0.229 0.500 0.173
La3 La 0.264 0.500 0.492
La4 La 0.279 0.000 0.834
La5 La 0.721 0.000 0.166
La6 La 0.736 0.500 0.508
La7 La 0.771 0.500 0.827
Y1 Y 0.057 0.500 0.670
Y2 Y 0.943 0.500 0.330
Tm1 Tm 0.458 0.000 0.338
Tm2 Tm 0.500 0.500 0.000
Tm3 Tm 0.542 0.000 0.662
# ΔH_f (0 K), eV per atom: 0.07
# M_tot, Bohr magnetons per cell: 0.0

***

Calculated N(E_F) (states/eV/f.u.), listed in the same order as above: 13.796 14.009 5.144 16.548